A geometry-optimized RbH3 structure. Source: the Alexandria database, functional PBE.

Energy above the most stable polymorph in this dataset = 0.000 eV/atom
Calculated volume = 19.0 Å³ per atom
D(E_F) = 0.00 states/eV/f.u.

The structure in CIF format:
```
data_RbH3
_space_group_name_H-M_alt 'P 1'
_space_group_IT_number 1
_space_group_name_Hall 'P 1'
_cell_length_a 4.6771
_cell_length_b 4.7139
_cell_length_c 4.7486
_cell_angle_alpha 60.01
_cell_angle_beta 60.95
_cell_angle_gamma 62.48
loop_
_atom_site_label
_atom_site_type_symbol
_atom_site_fract_x
_atom_site_fract_y
_atom_site_fract_z
_atom_site_occupancy
Rb1 Rb 0.1178 0.2486 0.3589 1
H1 H 0.3773 0.5043 0.6039 1
H2 H 0.5482 0.6797 0.7856 1
H3 H 0.5991 0.7433 0.8712 1
```

A geometry-optimized AgMoAs2 structure. Source: the Alexandria database, functional PBE.

Energy above the most stable polymorph in this dataset = 0.226 eV/atom
Calculated volume = 17.6 Å³ per atom
E_form = 0.9 eV/f.u.
D(E_F) = 2.38 states/eV/f.u.

The structure in CIF format:
```
data_AgMoAs2
_space_group_name_H-M_alt 'P 1'
_space_group_IT_number 1
_space_group_name_Hall 'P 1'
_cell_length_a 3.4666
_cell_length_b 3.4666
_cell_length_c 5.8594
_cell_angle_alpha 90.00
_cell_angle_beta 90.00
_cell_angle_gamma 90.00
loop_
_atom_site_label
_atom_site_type_symbol
_atom_site_fract_x
_atom_site_fract_y
_atom_site_fract_z
_atom_site_occupancy
As1 As 0.5000 0.5000 0.3036 1
As2 As 0.0000 0.0000 0.9874 1
Mo1 Mo 0.0000 0.0000 0.4375 1
Ag1 Ag 0.5000 0.5000 0.7715 1
```